A plane-wave DFT calculation with PBE was carried out for an optimized crystal structure of ReB2S6.

Cell: 5.843 7.381 7.381 Å, 83.71 82.26 82.26°
Positions (direct):
B1 0.346 0.228 0.359
S1 0.374 0.708 0.571
S2 0.626 0.292 0.429
S3 0.385 0.044 0.182
B2 0.654 0.772 0.641
S4 0.321 0.417 0.889
B3 0.154 0.641 0.772
S5 0.821 0.889 0.417
S6 0.885 0.182 0.044
S7 0.179 0.111 0.583
Re1 0.750 0.871 0.129
S8 0.679 0.583 0.111
B4 0.846 0.359 0.228
S9 0.615 0.956 0.818
S10 0.115 0.818 0.956
S11 0.874 0.571 0.708
Re2 0.250 0.129 0.871
S12 0.126 0.429 0.292

Calculated values
Symmetry: C2/c, No. 15
Formation energy from raw total energies, eV/atom: -0.1713